Entry 1:
KSn3Ge: relaxed, PBE.

Cell: 5.7992 5.7992 5.7992 Å, 90.00 90.00 90.00°
Positions (direct):
K 0.0000 0.0000 0.0000
Sn 0.0000 0.0000 0.5000
Sn 0.0000 0.5000 0.0000
Sn 0.5000 0.0000 0.0000
Ge 0.5000 0.5000 0.5000

Output
space-group type	Pm-3m
calculated total energy	-2.2539	eV/atom
ΔE_f	1.291	eV/atom
ΔE to the lowest computed polymorph	1384	meV/atom


Entry 2:
CaMgCd11: relaxed, PBE.

Cell: 7.7006 7.7006 7.7178 Å, 98.57 98.57 134.40°
Positions (direct):
Ca 0.0000 0.0000 0.0000
Mg 0.0000 0.0000 0.5000
Cd 0.0000 0.5000 0.0000
Cd 0.0015 0.6525 0.6476
Cd 0.2808 0.4936 0.7854
Cd 0.3475 0.9985 0.3524
Cd 0.4936 0.2808 0.7854
Cd 0.5000 0.0000 0.0000
Cd 0.5000 0.5000 0.5000
Cd 0.5064 0.7192 0.2146
Cd 0.6525 0.0015 0.6476
Cd 0.7192 0.5064 0.2146
Cd 0.9985 0.3475 0.3524

Output
space-group type	C2/m
calculated total energy	-1.1578	eV/atom
ΔE_f	-0.107	eV/atom